Record 1
The following is a meta-GGA SCAN calculation of Mn2ZnRh at its PBEsol-relaxed geometry, from Alexandria.

Cell and atoms, written as CIF:
```
data_Mn2ZnRh
_chemical_formula_sum 'Mn2 Zn1 Rh1'
_cell_length_a 3.6328
_cell_length_b 3.6328
_cell_length_c 3.7773
_cell_angle_alpha 90.00
_cell_angle_beta 90.00
_cell_angle_gamma 90.00
_symmetry_space_group_name_H-M 'P 1'
_symmetry_Int_Tables_number 1
_symmetry_space_group_name_Hall 'P 1'
loop_
_atom_site_label
_atom_site_type_symbol
_atom_site_fract_x
_atom_site_fract_y
_atom_site_fract_z
Mn1 Mn 0.0000 0.5000 0.0000
Mn2 Mn 0.5000 0.0000 0.0000
Zn1 Zn 0.0000 0.0000 0.5000
Rh1 Rh 0.5000 0.5000 0.5000
```

For the energy of formation from the pure elements, the calculation gives -0.269 eV per atom. As for the total magnetic moment: 7.964 μB/cell.

Record 2
The following is a meta-GGA SCAN calculation of KScPb2 at its PBEsol-relaxed geometry, from Alexandria.

Cell and atoms, written as CIF:
```
data_KScPb2
_chemical_formula_sum 'K1 Sc1 Pb2'
_cell_length_a 3.3868
_cell_length_b 4.3776
_cell_length_c 7.8120
_cell_angle_alpha 90.00
_cell_angle_beta 90.00
_cell_angle_gamma 90.00
_symmetry_space_group_name_H-M 'P 1'
_symmetry_Int_Tables_number 1
_symmetry_space_group_name_Hall 'P 1'
loop_
_atom_site_label
_atom_site_type_symbol
_atom_site_fract_x
_atom_site_fract_y
_atom_site_fract_z
K1 K 0.0000 0.0000 0.0000
Sc1 Sc 0.0000 0.0000 0.5000
Pb1 Pb 0.5000 0.5000 0.3031
Pb2 Pb 0.5000 0.5000 0.6969
```

The energy above the most stable polymorph in this dataset comes out at 0.00 eV per formula unit. For the energy of formation from the pure elements, the calculation gives -0.477 eV per atom. As for the total magnetic moment: 0.000 μB/cell.

Record 3
The following is a meta-GGA SCAN calculation of Fe2SeBr at its PBEsol-relaxed geometry, from Alexandria.

Cell and atoms, written as CIF:
```
data_Fe2SeBr
_chemical_formula_sum 'Fe2 Se1 Br1'
_cell_length_a 6.0703
_cell_length_b 6.0703
_cell_length_c 6.0703
_cell_angle_alpha 37.32
_cell_angle_beta 37.32
_cell_angle_gamma 37.32
_symmetry_space_group_name_H-M 'P 1'
_symmetry_Int_Tables_number 1
_symmetry_space_group_name_Hall 'P 1'
loop_
_atom_site_label
_atom_site_type_symbol
_atom_site_fract_x
_atom_site_fract_y
_atom_site_fract_z
Fe1 Fe 0.2162 0.2162 0.2162
Fe2 Fe 0.7838 0.7838 0.7838
Se1 Se 0.5000 0.5000 0.5000
Br1 Br 0.0000 0.0000 0.0000
```

The energy above the most stable polymorph in this dataset comes out at 0.08 eV per formula unit. As for the total magnetic moment: 6.911 μB/cell.

Record 4
The following is a meta-GGA SCAN calculation of KV2SeO7 at its PBEsol-relaxed geometry, from Alexandria.

Cell and atoms, written as CIF:
```
data_KV2SeO7
_chemical_formula_sum 'K4 V8 Se4 O28'
_cell_length_a 18.2457
_cell_length_b 5.4128
_cell_length_c 6.8909
_cell_angle_alpha 90.00
_cell_angle_beta 90.00
_cell_angle_gamma 90.00
_symmetry_space_group_name_H-M 'P 1'
_symmetry_Int_Tables_number 1
_symmetry_space_group_name_Hall 'P 1'
loop_
_atom_site_label
_atom_site_type_symbol
_atom_site_fract_x
_atom_site_fract_y
_atom_site_fract_z
K1 K 0.0297 0.2500 0.2456
K2 K 0.4703 0.7500 0.7456
K3 K 0.5297 0.2500 0.2544
K4 K 0.9703 0.7500 0.7544
V1 V 0.1181 0.2500 0.7382
V2 V 0.1910 0.7500 0.4595
V3 V 0.3090 0.2500 0.9595
V4 V 0.3819 0.7500 0.2382
V5 V 0.6181 0.2500 0.7618
V6 V 0.6910 0.7500 0.0405
V7 V 0.8090 0.2500 0.5405
V8 V 0.8819 0.7500 0.2618
Se1 Se 0.1504 0.7500 0.9825
Se2 Se 0.3496 0.2500 0.4825
Se3 Se 0.6504 0.7500 0.5175
Se4 Se 0.8496 0.2500 0.0175
O1 O 0.0379 0.2500 0.6359
O2 O 0.0919 0.5093 0.9366
O3 O 0.0919 0.9907 0.9366
O4 O 0.1370 0.7500 0.2364
O5 O 0.1680 0.0065 0.5880
O6 O 0.1680 0.4935 0.5880
O7 O 0.2199 0.2500 0.9129
O8 O 0.2801 0.7500 0.4129
O9 O 0.3320 0.5065 0.0880
O10 O 0.3320 0.9935 0.0880
O11 O 0.3630 0.2500 0.7364
O12 O 0.4081 0.0093 0.4366
O13 O 0.4081 0.4907 0.4366
O14 O 0.4621 0.7500 0.1359
O15 O 0.5379 0.2500 0.8641
O16 O 0.5919 0.5093 0.5634
O17 O 0.5919 0.9907 0.5634
O18 O 0.6370 0.7500 0.2636
O19 O 0.6680 0.0065 0.9120
O20 O 0.6680 0.4935 0.9120
O21 O 0.7199 0.2500 0.5871
O22 O 0.7801 0.7500 0.0871
O23 O 0.8320 0.5065 0.4120
O24 O 0.8320 0.9935 0.4120
O25 O 0.8630 0.2500 0.7636
O26 O 0.9081 0.0093 0.0634
O27 O 0.9081 0.4907 0.0634
O28 O 0.9621 0.7500 0.3641
```

As for the total magnetic moment: 4.000 μB/cell.

Listing final energy for the structures above in their given order: -84.871 -176.036 -75.994 -521.763 eV/cell.